1.
! BaAgMo4 PBE-GGA relaxed; values from VASP
! - calculated formation energy (meV per atom) = 933
! - spin magnetization (μB/cell) = 0.00
! - Fermi-level density of states (states/eV/cell) = 5.5
! - SG = F-43m, No. 216
&SYSTEM
  ibrav = 0, nat = 6, ntyp = 3
/
ATOMIC_SPECIES
Ba 137.33 Ba.upf
Ag 107.87 Ag.upf
Mo 95.94 Mo.upf
ATOMIC_POSITIONS crystal
Ba 0.000 0.000 0.000
Ag 0.250 0.250 0.250
Mo 0.124 0.625 0.625
Mo 0.625 0.124 0.625
Mo 0.625 0.625 0.124
Mo 0.625 0.625 0.625
CELL_PARAMETERS angstrom
0.000 3.911 3.911
3.911 0.000 3.911
3.911 3.911 0.000


2.
! Ba3AgMo PBE-GGA relaxed; values from VASP
! - calculated formation energy (meV per atom) = 669
! - spin magnetization (μB/cell) = 0.00
! - relative energy among the computed polymorphs (eV per formula unit) = 0.00
! - Fermi-level density of states (states/eV/cell) = 3.3
! - SG = Pm-3m, No. 221
&SYSTEM
  ibrav = 0, nat = 5, ntyp = 3
/
ATOMIC_SPECIES
Ba 137.33 Ba.upf
Ag 107.87 Ag.upf
Mo 95.94 Mo.upf
ATOMIC_POSITIONS crystal
Ba 0.000 0.000 0.500
Ba 0.000 0.500 0.000
Ba 0.500 0.000 0.000
Ag 0.500 0.500 0.500
Mo 0.000 0.000 0.000
CELL_PARAMETERS angstrom
5.930 0.000 0.000
0.000 5.930 0.000
0.000 0.000 5.930


3.
! BaAg4Mo2 PBE-GGA relaxed; values from VASP
! - calculated formation energy (meV per atom) = 1307
! - spin magnetization (μB/cell) = 0.61
! - Fermi-level density of states (states/eV/cell) = 7.6
! - SG = I4/mmm, No. 139
&SYSTEM
  ibrav = 0, nat = 7, ntyp = 3
/
ATOMIC_SPECIES
Ba 137.33 Ba.upf
Ag 107.87 Ag.upf
Mo 95.94 Mo.upf
ATOMIC_POSITIONS crystal
Ba 0.000 0.000 0.000
Ag 0.000 0.500 0.500
Ag 0.232 0.232 0.000
Ag 0.500 0.000 0.500
Ag 0.768 0.768 0.000
Mo 0.428 0.428 0.000
Mo 0.572 0.572 0.000
CELL_PARAMETERS angstrom
-2.914 2.914 7.086
2.914 -2.914 7.086
2.914 2.914 -7.086


4.
! BaAg2Mo PBE-GGA relaxed; values from VASP
! - calculated formation energy (meV per atom) = 729
! - spin magnetization (μB/cell) = 0.08
! - relative energy among the computed polymorphs (eV per formula unit) = 0.40
! - Fermi-level density of states (states/eV/cell) = 3.7
! - SG = C2/m, No. 12
&SYSTEM
  ibrav = 0, nat = 4, ntyp = 3
/
ATOMIC_SPECIES
Ba 137.33 Ba.upf
Ag 107.87 Ag.upf
Mo 95.94 Mo.upf
ATOMIC_POSITIONS crystal
Ba 0.000 0.000 0.000
Ag 0.240 0.240 0.672
Ag 0.760 0.760 0.328
Mo 0.500 0.500 0.500
CELL_PARAMETERS angstrom
4.715 -1.539 0.000
4.715 1.539 0.000
-0.943 0.000 6.732


5.
! BaAg2Mo PBE-GGA relaxed; values from VASP
! - calculated formation energy (meV per atom) = 713
! - spin magnetization (μB/cell) = 1.09
! - relative energy among the computed polymorphs (eV per formula unit) = 0.33
! - Fermi-level density of states (states/eV/cell) = 4.4
! - SG = Pm, No. 6
&SYSTEM
  ibrav = 0, nat = 4, ntyp = 3
/
ATOMIC_SPECIES
Ba 137.33 Ba.upf
Ag 107.87 Ag.upf
Mo 95.94 Mo.upf
ATOMIC_POSITIONS crystal
Ba 0.000 0.000 0.000
Ag 0.247 0.000 0.481
Ag 0.363 0.500 0.724
Mo 0.684 0.500 0.359
CELL_PARAMETERS angstrom
3.007 0.000 0.000
0.000 4.754 0.000
-1.471 0.000 6.667